LaTaCo10 | PBE-GGA | optimized geometry

Unit cell a=3.992 b=4.806 c=8.401 alpha=90.00 beta=90.00 gamma=90.00
Atoms (fractional coordinates):
La1 0.000 0.000 0.000
Ta1 0.000 0.500 0.500
Co1 0.000 0.000 0.349
Co2 0.000 0.000 0.651
Co3 0.000 0.500 0.190
Co4 0.000 0.500 0.810
Co5 0.500 0.000 0.500
Co6 0.500 0.262 0.267
Co7 0.500 0.262 0.733
Co8 0.500 0.500 0.000
Co9 0.500 0.738 0.267
Co10 0.500 0.738 0.733

* symmetry: Pmmm, No. 47
* DFT formation energy: 25 meV per atom
* ρ: 9.4 g/cm3